(1)
First-principles (PBEsol) data for a geometry-optimized Co2CuRe structure, as listed in Alexandria.

Cell lengths 2.490, 4.821, 4.821 Å; angles 116.61, 102.22, 102.22 degrees
Element x y z (fractional)
Re (0.500, 0.000, 0.000)
Co (0.000, 0.500, 0.000)
Co (0.000, 0.000, 0.500)
Cu (0.500, 0.500, 0.500)

Output
**Total magnetic moment**: 2.6 Bohr magnetons per cell
**Raw total energy**: -31.81 eV per cell
**Symmetry**: C2/m
**Energy above the most stable polymorph in this dataset**: 89 kJ/mol of formula units
**Calculated density**: 12.890 Mg/m³
**E_form**: 0.332 eV/atom



(2)
First-principles (PBEsol) data for a geometry-optimized Co2CuRe structure, as listed in Alexandria.

Cell lengths 2.921, 2.921, 5.436 Å; angles 90.00, 90.00, 90.00 degrees
Element x y z (fractional)
Re (0.500, 0.500, 0.500)
Co (0.000, 0.000, 0.760)
Co (0.000, 0.000, 0.240)
Cu (0.500, 0.500, 0.000)

Output
**Total magnetic moment**: 2.4 Bohr magnetons per cell
**Raw total energy**: -32.37 eV per cell
**Symmetry**: P4/mmm
**Energy above the most stable polymorph in this dataset**: 35 kJ/mol of formula units
**Calculated density**: 13.164 Mg/m³
**E_form**: 0.192 eV/atom